Pa2Se3 | PBE-GGA | relaxed

Its crystal system is orthorhombic. As for the polymorph energy (0 for the lowest one): 0.00 eV/f.u. The value obtained for the final energy is -36.2 eV/f.u.

It has space group Pnma (No. 62), with a = 7.784 Å, b = 3.979 Å, c = 15.679 Å, α = 90.00°, β = 90.00° and γ = 90.00°. The distinct sites, in fractional coordinates, are Pa at (0.093, 0.250, 0.210), Pa at (0.241, 0.750, 0.458), Se at (0.003, 0.750, 0.605), Se at (0.120, 0.750, 0.073) and Se at (0.176, 0.250, 0.775).

Pa2Se | PBE-GGA | relaxed

Its crystal system is tetragonal. The value obtained for the final energy is -23.5 eV/f.u.

It has space group I4/mmm (No. 139), with a = 3.898 Å, b = 3.898 Å, c = 9.291 Å, α = 90.00°, β = 90.00° and γ = 90.00°. The distinct sites, in fractional coordinates, are Pa at (0.000, 0.000, 0.143) and Se at (0.000, 0.000, 0.500).

Pa3Se8 | PBE-GGA | relaxed

Its crystal system is cubic. The value obtained for the final energy is -69.3 eV/f.u.

It has space group Pm-3m (No. 221), with a = 6.729 Å, b = 6.729 Å, c = 6.729 Å, α = 90.00°, β = 90.00° and γ = 90.00°. The distinct sites, in fractional coordinates, are Pa at (0.000, 0.000, 0.500) and Se at (0.247, 0.247, 0.247).

PaSe4 | PBE-GGA | relaxed

Its crystal system is cubic. The value obtained for the final energy is -25.0 eV/f.u.

It has space group Pm-3m (No. 221), with a = 5.482 Å, b = 5.482 Å, c = 5.482 Å, α = 90.00°, β = 90.00° and γ = 90.00°. The distinct sites, in fractional coordinates, are Pa at (0.000, 0.000, 0.000), Se at (0.000, 0.000, 0.500) and Se at (0.500, 0.500, 0.500).

Pa4Se3 | PBE-GGA | relaxed

Its crystal system is trigonal. The value obtained for the final energy is -53.9 eV/f.u.

It has space group R-3m (No. 166, hexagonal axes), with a = 3.8430 Å, b = 3.8430 Å, c = 39.0156 Å, α = 90.00°, β = 90.00° and γ = 120.00°. The distinct sites, in fractional coordinates, are Pa at (0.0000, 0.0000, 0.1198), Pa at (0.0000, 0.0000, 0.3547), Se at (0.0000, 0.0000, 0.2608) and Se at (0.0000, 0.0000, 0.5000).

Pa2Se3 | PBE-GGA | relaxed

Its crystal system is monoclinic. As for the polymorph energy (0 for the lowest one): 0.17 eV/f.u. The value obtained for the final energy is -36.0 eV/f.u.

It has space group C2/m (No. 12), with a = 17.442 Å, b = 4.058 Å, c = 12.433 Å, α = 90.00°, β = 103.26° and γ = 90.00°. The distinct sites, in fractional coordinates, are Pa at (0.004, 0.000, 0.163), Pa at (0.165, 0.500, 0.380), Pa at (0.167, 0.500, 0.059), Se at (0.000, 0.500, 0.000), Se at (0.002, 0.500, 0.678), Se at (0.164, 0.000, 0.889), Se at (0.167, 0.000, 0.541) and Se at (0.180, 0.000, 0.225).

Pa3Se5 | PBE-GGA | relaxed

Its crystal system is hexagonal. The value obtained for the final energy is -56.3 eV/f.u.

It has space group P6_3/mcm (No. 193), with a = 8.3713 Å, b = 8.3713 Å, c = 6.3452 Å, α = 90.00°, β = 90.00° and γ = 120.00°. The distinct sites, in fractional coordinates, are Pa at (0.0000, 0.3933, 0.2500), Se at (0.0000, 0.2536, 0.7500) and Se at (0.3333, 0.6667, 0.0000).

PaSiSe4 | PBE-GGA | relaxed

Its crystal system is tetragonal. The value obtained for the final energy is -32.7 eV/f.u.

It has space group P-42c (No. 112), with a = 6.750 Å, b = 6.750 Å, c = 7.504 Å, α = 90.00°, β = 90.00° and γ = 90.00°. The distinct sites, in fractional coordinates, are Pa at (0.000, 0.000, 0.000), Si at (0.000, 0.500, 0.250) and Se at (0.243, 0.245, 0.792).

Pa5Si2Se2 | PBE-GGA | relaxed

Its crystal system is orthorhombic. The value obtained for the final energy is -71.9 eV/f.u.

It has space group Cmce (No. 64), with a = 14.394 Å, b = 7.500 Å, c = 7.514 Å, α = 90.00°, β = 90.00° and γ = 90.00°. The distinct sites, in fractional coordinates, are Pa at (0.000, 0.000, 0.000), Pa at (0.132, 0.174, 0.325), Si at (0.000, 0.121, 0.622) and Se at (0.206, 0.000, 0.000).

Pa2SiSe | PBE-GGA | relaxed

Its crystal system is tetragonal. As for the polymorph energy (0 for the lowest one): 0.00 eV/f.u. The value obtained for the final energy is -31.4 eV/f.u.

It has space group I4_1/amd (No. 141, origin choice 2), with a = 5.753 Å, b = 5.753 Å, c = 11.570 Å, α = 90.00°, β = 90.00° and γ = 90.00°. The distinct sites, in fractional coordinates, are Pa at (0.000, 0.250, 0.121), Si at (0.000, 0.250, 0.875) and Se at (0.000, 0.250, 0.375).

Pa3SiSe6 | PBE-GGA | relaxed

Its crystal system is orthorhombic. The value obtained for the final energy is -65.1 eV/f.u.

It has space group Cmc2_1 (No. 36), with a = 10.942 Å, b = 13.968 Å, c = 6.804 Å, α = 90.00°, β = 90.00° and γ = 90.00°. The distinct sites, in fractional coordinates, are Pa at (0.000, 0.101, 0.000), Pa at (0.166, 0.393, 0.109), Si at (0.000, 0.380, 0.789), Se at (0.000, 0.251, 0.268), Se at (0.000, 0.456, 0.447), Se at (0.169, 0.033, 0.300) and Se at (0.175, 0.226, 0.833).

Pa5SiSe5 | PBE-GGA | relaxed

Its crystal system is monoclinic. The value obtained for the final energy is -83.1 eV/f.u.

It has space group C2/m (No. 12), with a = 12.777 Å, b = 5.710 Å, c = 8.058 Å, α = 90.00°, β = 108.41° and γ = 90.00°. The distinct sites, in fractional coordinates, are Pa at (0.000, 0.000, 0.000), Pa at (0.163, 0.500, 0.328), Pa at (0.167, 0.500, 0.838), Si at (0.000, 0.500, 0.000), Se at (0.000, 0.500, 0.500), Se at (0.158, 0.000, 0.815) and Se at (0.162, 0.000, 0.342).

Pa4SiSe3 | PBE-GGA | relaxed

Its crystal system is monoclinic. The value obtained for the final energy is -62.2 eV/f.u.

It has space group C2/m (No. 12), with a = 11.519 Å, b = 7.842 Å, c = 4.219 Å, α = 90.00°, β = 90.08° and γ = 90.00°. The distinct sites, in fractional coordinates, are Pa at (0.000, 0.243, 0.000), Pa at (0.247, 0.000, 0.500), Si at (0.000, 0.000, 0.500), Se at (0.000, 0.500, 0.500) and Se at (0.250, 0.250, 0.000).

PaSi2Se6 | PBE-GGA | relaxed

Its crystal system is monoclinic. The value obtained for the final energy is -46.8 eV/f.u.

It has space group C2/c (No. 15), with a = 13.133 Å, b = 11.905 Å, c = 6.590 Å, α = 90.00°, β = 100.00° and γ = 90.00°. The distinct sites, in fractional coordinates, are Pa at (0.000, 0.109, 0.250), Si at (0.194, 0.425, 0.301), Se at (0.124, 0.078, 0.646), Se at (0.131, 0.420, 0.608) and Se at (0.136, 0.264, 0.131).

Pa6SiSe12 | PBE-GGA | relaxed

Its crystal system is trigonal. The value obtained for the final energy is -126.0 eV/f.u.

It has space group R-3 (No. 148, hexagonal axes), with a = 12.5488 Å, b = 12.5488 Å, c = 11.3336 Å, α = 90.00°, β = 90.00° and γ = 120.00°. The distinct sites, in fractional coordinates, are Pa at (0.0532, 0.7763, 0.1467), Si at (0.0000, 0.0000, 0.5000), Se at (0.0357, 0.8234, 0.8907) and Se at (0.0523, 0.8511, 0.3879).

Pa2SiSe | PBE-GGA | relaxed

Its crystal system is trigonal. As for the polymorph energy (0 for the lowest one): 0.48 eV/f.u. The value obtained for the final energy is -30.9 eV/f.u.

It has space group R3m (No. 160, hexagonal axes), with a = 3.8724 Å, b = 3.8724 Å, c = 22.2423 Å, α = 90.00°, β = 90.00° and γ = 120.00°. The distinct sites, in fractional coordinates, are Pa at (0.0000, 0.0000, 0.0000), Pa at (0.0000, 0.0000, 0.1799), Si at (0.0000, 0.0000, 0.5905) and Se at (0.0000, 0.0000, 0.4221).

PaSi2Se8 | PBE-GGA | relaxed

Its crystal system is monoclinic. The value obtained for the final energy is -54.3 eV/f.u.

It has space group C2/m (No. 12), with a = 10.207 Å, b = 12.892 Å, c = 6.560 Å, α = 90.00°, β = 107.10° and γ = 90.00°. The distinct sites, in fractional coordinates, are Pa at (0.000, 0.000, 0.000), Si at (0.222, 0.000, 0.708), Se at (0.036, 0.500, 0.189), Se at (0.135, 0.145, 0.816) and Se at (0.232, 0.000, 0.366).

Pa4Si3Se | PBE-GGA | relaxed

Its crystal system is orthorhombic. The value obtained for the final energy is -62.8 eV/f.u.

It has space group Cmmm (No. 65), with a = 8.130 Å, b = 11.536 Å, c = 4.094 Å, α = 90.00°, β = 90.00° and γ = 90.00°. The distinct sites, in fractional coordinates, are Pa at (0.000, 0.247, 0.000), Pa at (0.243, 0.000, 0.500), Si at (0.000, 0.000, 0.000), Si at (0.250, 0.250, 0.500) and Se at (0.000, 0.500, 0.000).

PaSiSe6 | PBE-GGA | relaxed

Its crystal system is monoclinic. The value obtained for the final energy is -39.3 eV/f.u.

It has space group C2/m (No. 12), with a = 6.359 Å, b = 12.552 Å, c = 6.603 Å, α = 90.00°, β = 114.69° and γ = 90.00°. The distinct sites, in fractional coordinates, are Pa at (0.000, 0.000, 0.000), Si at (0.000, 0.500, 0.500), Se at (0.163, 0.356, 0.771) and Se at (0.182, 0.000, 0.655).

Pa2SiSe | PBE-GGA | relaxed

Its crystal system is tetragonal. As for the polymorph energy (0 for the lowest one): 0.72 eV/f.u. The value obtained for the final energy is -30.6 eV/f.u.

It has space group P4/mmm (No. 123), with a = 3.470 Å, b = 3.470 Å, c = 7.101 Å, α = 90.00°, β = 90.00° and γ = 90.00°. The distinct sites, in fractional coordinates, are Pa at (0.000, 0.000, 0.238), Si at (0.500, 0.500, 0.000) and Se at (0.500, 0.500, 0.500).

PaSiSe | PBE-GGA | relaxed

Its crystal system is orthorhombic. As for the polymorph energy (0 for the lowest one): 0.99 eV/f.u. The value obtained for the final energy is -20.4 eV/f.u.

It has space group Cmcm (No. 63), with a = 4.003 Å, b = 21.283 Å, c = 3.852 Å, α = 90.00°, β = 90.00° and γ = 90.00°. The distinct sites, in fractional coordinates, are Pa at (0.000, 0.083, 0.250), Si at (0.000, 0.467, 0.250) and Se at (0.000, 0.174, 0.750).

Number 1: DOS(E_F) 1.7283 states/eV per atom, E_form (uncorrected) -1.34 eV/atom. Number 2: DOS(E_F) 2.5372 states/eV per atom, E_form (uncorrected) -0.36 eV/atom. Number 3: DOS(E_F) 0.2592 states/eV per atom, E_form (uncorrected) -1.18 eV/atom. Number 4: DOS(E_F) 1.0370 states/eV per atom, E_form (uncorrected) -0.31 eV/atom. Number 5: DOS(E_F) 2.1434 states/eV per atom, E_form (uncorrected) -0.79 eV/atom. Number 6: DOS(E_F) 1.4254 states/eV per atom, E_form (uncorrected) -1.31 eV/atom. Number 7: DOS(E_F) 1.1090 states/eV per atom, E_form (uncorrected) -1.30 eV/atom. Number 8: DOS(E_F) 0.6004 states/eV per atom, E_form (uncorrected) -0.64 eV/atom. Number 9: DOS(E_F) 1.9264 states/eV per atom, E_form (uncorrected) -0.74 eV/atom. Number 10: DOS(E_F) 1.0292 states/eV per atom, E_form (uncorrected) -0.87 eV/atom. Number 11: DOS(E_F) 0.9688 states/eV per atom, E_form (uncorrected) -1.03 eV/atom. Number 12: DOS(E_F) 1.3145 states/eV per atom, E_form (uncorrected) -1.16 eV/atom. Number 13: DOS(E_F) 1.6222 states/eV per atom, E_form (uncorrected) -1.05 eV/atom. Number 14: DOS(E_F) 0.2634 states/eV per atom, E_form (uncorrected) -0.61 eV/atom. Number 15: DOS(E_F) 1.6158 states/eV per atom, E_form (uncorrected) -1.15 eV/atom. Number 16: DOS(E_F) 1.6525 states/eV per atom, E_form (uncorrected) -0.75 eV/atom. Number 17: DOS(E_F) 0.4038 states/eV per atom, E_form (uncorrected) -0.55 eV/atom. Number 18: DOS(E_F) 1.1706 states/eV per atom, E_form (uncorrected) -0.63 eV/atom. Number 19: DOS(E_F) 0.4942 states/eV per atom, E_form (uncorrected) -0.44 eV/atom. Number 20: DOS(E_F) 1.7484 states/eV per atom, E_form (uncorrected) -0.68 eV/atom. Number 21: DOS(E_F) 0.6993 states/eV per atom, E_form (uncorrected) -0.67 eV/atom.